Compound: YMg2GaSb
Source: Alexandria
Functional: GGA-PBE
Structure: optimized geometry

POSCAR file:
```
YMg2GaSb
1.0
4.8879 0.0000 0.0000
0.0000 4.8879 0.0000
0.0000 0.0000 5.7947
Y Mg Ga Sb
1 2 1 1
direct
0.0000 0.0000 0.0000
0.0000 0.5000 0.5000
0.5000 0.0000 0.5000
0.5000 0.5000 0.5000
0.5000 0.5000 0.0000
```

## Properties
- formation energy without anion corrections (eV per atom) = 0.088
- volume (Å³ per cell) = 138.4
- space group = P4/mmm
- spin magnetization (μB per cell) = 0.000
- E_tot (Ry per atom) = -0.241